# 1
Density functional theory data (meta-GGA SCAN) for Mn2MoP at its PBEsol-relaxed geometry.

Output
Total DFT energy (no corrections) = -0.7510 Ha/atom
ΔH_f (0 K) = 0.0118 eV/atom

The structure in CIF format:
```
data_Mn2MoP
_cell_length_a 4.950
_cell_length_b 8.088
_cell_length_c 2.674
_cell_angle_alpha 90.00
_cell_angle_beta 115.86
_cell_angle_gamma 90.00
_space_group_name_H-M_alt 'C 1 2/m 1'
_space_group_IT_number 12
loop_
_space_group_symop_operation_xyz
'x,y,z'
'-x,-y,-z'
'-x,y,-z'
'x,-y,z'
'x+1/2,y+1/2,z'
'-x+1/2,-y+1/2,-z'
'-x+1/2,y+1/2,-z'
'x+1/2,-y+1/2,z'
loop_
_atom_site_label
_atom_site_fract_x
_atom_site_fract_y
_atom_site_fract_z
Mn1 0.250 0.250 0.000
Mo1 0.000 0.000 0.500
P1 0.000 0.500 0.500
```


# 2
Density functional theory data (meta-GGA SCAN) for Li2NiGe2 at its PBEsol-relaxed geometry.

Output
Total DFT energy (no corrections) = -0.4454 Ha/atom
ΔH_f (0 K) = -0.2944 eV/atom

The structure in CIF format:
```
data_Li2NiGe2
_cell_length_a 6.062
_cell_length_b 6.062
_cell_length_c 4.071
_cell_angle_alpha 90.00
_cell_angle_beta 90.00
_cell_angle_gamma 90.00
_space_group_name_H-M_alt 'P 4/m b m'
_space_group_IT_number 127
_space_group_name_Hall '-P 4 2ab'
loop_
_atom_site_label
_atom_site_fract_x
_atom_site_fract_y
_atom_site_fract_z
Li1 0.167 0.333 0.000
Ni1 0.000 0.000 0.500
Ge1 0.145 0.645 0.500
```


# 3
Density functional theory data (meta-GGA SCAN) for Re2PSe at its PBEsol-relaxed geometry.

Output
Total DFT energy (no corrections) = -1.5731 Ha/atom

The structure in CIF format:
```
data_Re2PSe
_cell_length_a 2.9276
_cell_length_b 2.9276
_cell_length_c 23.0159
_cell_angle_alpha 90.00
_cell_angle_beta 90.00
_cell_angle_gamma 120.00
_space_group_name_H-M_alt 'R -3 m'
_space_group_IT_number 166
_space_group_name_Hall '-R 3 2"'
loop_
_atom_site_label
_atom_site_fract_x
_atom_site_fract_y
_atom_site_fract_z
Re1 0.0000 0.0000 0.2448
P1 0.0000 0.0000 0.5000
Se1 0.0000 0.0000 0.0000
```


# 4
Density functional theory data (meta-GGA SCAN) for WSNCl2 at its PBEsol-relaxed geometry.

Output
Total DFT energy (no corrections) = -0.7435 Ha/atom

The structure in CIF format:
```
data_WSNCl2
_cell_length_a 4.765
_cell_length_b 4.765
_cell_length_c 4.548
_cell_angle_alpha 90.00
_cell_angle_beta 90.00
_cell_angle_gamma 90.00
_space_group_name_H-M_alt 'P 4/m m m'
_space_group_IT_number 123
_space_group_name_Hall '-P 4 2'
loop_
_atom_site_label
_atom_site_fract_x
_atom_site_fract_y
_atom_site_fract_z
W1 0.000 0.000 0.000
S1 0.000 0.000 0.500
N1 0.500 0.500 0.500
Cl1 0.000 0.500 0.000
```


# 5
Density functional theory data (meta-GGA SCAN) for LiZr2Cl at its PBEsol-relaxed geometry.

Output
Total DFT energy (no corrections) = -0.6546 Ha/atom

The structure in CIF format:
```
data_LiZr2Cl
_cell_length_a 4.388
_cell_length_b 4.388
_cell_length_c 7.445
_cell_angle_alpha 90.00
_cell_angle_beta 90.00
_cell_angle_gamma 90.00
_space_group_name_H-M_alt 'I 4/m m m'
_space_group_IT_number 139
_space_group_name_Hall '-I 4 2'
loop_
_atom_site_label
_atom_site_fract_x
_atom_site_fract_y
_atom_site_fract_z
Li1 0.000 0.000 0.000
Zr1 0.000 0.500 0.250
Cl1 0.000 0.000 0.500
```


# 6
Density functional theory data (meta-GGA SCAN) for TiHAu2 at its PBEsol-relaxed geometry.

Output
Total DFT energy (no corrections) = -1.4411 Ha/atom

The structure in CIF format:
```
data_TiHAu2
_cell_length_a 6.143
_cell_length_b 6.143
_cell_length_c 6.143
_cell_angle_alpha 90.00
_cell_angle_beta 90.00
_cell_angle_gamma 90.00
_space_group_name_H-M_alt 'F m -3 m'
_space_group_IT_number 225
_space_group_name_Hall '-F 4 2 3'
loop_
_atom_site_label
_atom_site_fract_x
_atom_site_fract_y
_atom_site_fract_z
Ti1 0.000 0.000 0.000
H1 0.000 0.000 0.500
Au1 0.250 0.250 0.250
```


# 7
Density functional theory data (meta-GGA SCAN) for Cr2CoAgGe at its PBEsol-relaxed geometry.

Output
Total DFT energy (no corrections) = -0.7394 Ha/atom
ΔH_f (0 K) = 0.7843 eV/atom

The structure in CIF format:
```
data_Cr2CoAgGe
_cell_length_a 4.591
_cell_length_b 4.591
_cell_length_c 4.224
_cell_angle_alpha 90.00
_cell_angle_beta 90.00
_cell_angle_gamma 90.00
_space_group_name_H-M_alt 'P 4/m m m'
_space_group_IT_number 123
_space_group_name_Hall '-P 4 2'
loop_
_atom_site_label
_atom_site_fract_x
_atom_site_fract_y
_atom_site_fract_z
Cr1 0.000 0.500 0.000
Co1 0.000 0.000 0.500
Ag1 0.500 0.500 0.500
Ge1 0.000 0.000 0.000
```


# 8
Density functional theory data (meta-GGA SCAN) for SrAs2O6 at its PBEsol-relaxed geometry.

Output
Total DFT energy (no corrections) = -0.4802 Ha/atom

The structure in CIF format:
```
data_SrAs2O6
_cell_length_a 4.9003
_cell_length_b 4.9003
_cell_length_c 5.4339
_cell_angle_alpha 90.00
_cell_angle_beta 90.00
_cell_angle_gamma 120.00
_space_group_name_H-M_alt 'P -3 1 m'
_space_group_IT_number 162
_space_group_name_Hall '-P 3 2'
loop_
_atom_site_label
_atom_site_fract_x
_atom_site_fract_y
_atom_site_fract_z
Sr1 0.0000 0.0000 0.0000
As1 0.3333 0.6667 0.5000
O1 0.0000 0.3830 0.6936
```


# 9
Density functional theory data (meta-GGA SCAN) for Fe3IrI at its PBEsol-relaxed geometry.

Output
Total DFT energy (no corrections) = -1.1571 Ha/atom

The structure in CIF format:
```
data_Fe3IrI
_cell_length_a 4.678
_cell_length_b 4.678
_cell_length_c 4.678
_cell_angle_alpha 90.00
_cell_angle_beta 90.00
_cell_angle_gamma 90.00
_space_group_name_H-M_alt 'P m -3 m'
_space_group_IT_number 221
_space_group_name_Hall '-P 4 2 3'
loop_
_atom_site_label
_atom_site_fract_x
_atom_site_fract_y
_atom_site_fract_z
Fe1 0.000 0.000 0.500
Ir1 0.000 0.000 0.000
I1 0.500 0.500 0.500
```


# 10
Density functional theory data (meta-GGA SCAN) for Lu2Mn12P7 at its PBEsol-relaxed geometry.

Output
Total DFT energy (no corrections) = -0.7347 Ha/atom
ΔH_f (0 K) = -0.8225 eV/atom

The structure in CIF format:
```
data_Lu2Mn12P7
_cell_length_a 9.0783
_cell_length_b 9.0783
_cell_length_c 3.5404
_cell_angle_alpha 90.00
_cell_angle_beta 90.00
_cell_angle_gamma 120.00
_space_group_name_H-M_alt 'P -6'
_space_group_IT_number 174
loop_
_space_group_symop_operation_xyz
'x,y,z'
'-x+y,-x,-z'
'-y,x-y,z'
'x,y,-z'
'-x+y,-x,z'
'-y,x-y,-z'
loop_
_atom_site_label
_atom_site_fract_x
_atom_site_fract_y
_atom_site_fract_z
Lu1 0.0000 0.0000 0.0000
Lu2 0.3333 0.6667 0.5000
Mn1 0.0582 0.2888 0.5000
Mn2 0.0928 0.7112 0.0000
Mn3 0.3893 0.1763 0.0000
Mn4 0.5454 0.4337 0.5000
P1 0.0783 0.4558 0.0000
P2 0.2567 0.2058 0.5000
P3 0.6667 0.3333 0.0000
```


# 11
Density functional theory data (meta-GGA SCAN) for Zr2CoTc at its PBEsol-relaxed geometry.

Output
Total DFT energy (no corrections) = -1.0617 Ha/atom
ΔH_f (0 K) = -0.4509 eV/atom

The structure in CIF format:
```
data_Zr2CoTc
_cell_length_a 3.214
_cell_length_b 3.214
_cell_length_c 6.283
_cell_angle_alpha 90.00
_cell_angle_beta 90.00
_cell_angle_gamma 90.00
_space_group_name_H-M_alt 'P 4/m m m'
_space_group_IT_number 123
_space_group_name_Hall '-P 4 2'
loop_
_atom_site_label
_atom_site_fract_x
_atom_site_fract_y
_atom_site_fract_z
Zr1 0.000 0.000 0.247
Co1 0.500 0.500 0.000
Tc1 0.500 0.500 0.500
```


# 12
Density functional theory data (meta-GGA SCAN) for KRe2Si at its PBEsol-relaxed geometry.

Output
Total DFT energy (no corrections) = -1.4377 Ha/atom

The structure in CIF format:
```
data_KRe2Si
_cell_length_a 2.601
_cell_length_b 4.635
_cell_length_c 6.649
_cell_angle_alpha 90.00
_cell_angle_beta 92.14
_cell_angle_gamma 90.00
_space_group_name_H-M_alt 'P 1 2/m 1'
_space_group_IT_number 10
loop_
_space_group_symop_operation_xyz
'x,y,z'
'-x,-y,-z'
'-x,y,-z'
'x,-y,z'
loop_
_atom_site_label
_atom_site_fract_x
_atom_site_fract_y
_atom_site_fract_z
K1 0.000 0.000 0.000
Re1 0.373 0.500 0.330
Si1 0.500 0.000 0.500
```